w | Material: OsRh4
Method: DFT, PBE
State: optimized geometry

Results
- crystal system = tetragonal

CIF file:
```
data_OsRh4
_chemical_formula_sum 'Os2 Rh8'
_cell_length_a 3.520
_cell_length_b 3.520
_cell_length_c 12.642
_cell_angle_alpha 90.00
_cell_angle_beta 90.00
_cell_angle_gamma 90.00
_space_group_name_H-M_alt 'I 4/m m m'
_space_group_IT_number 139
_space_group_name_Hall '-I 4 2'
loop_
_atom_site_label
_atom_site_fract_x
_atom_site_fract_y
_atom_site_fract_z
_atom_site_occupancy
Os1 0.000 0.000 0.000 1
Rh1 0.000 0.000 0.403 1
Rh2 0.000 0.500 0.250 1
```


x | Material: OsRh4
Method: DFT, PBE
State: optimized geometry

Results
- crystal system = cubic

CIF file:
```
data_OsRh4
_chemical_formula_sum 'Os1 Rh4'
_cell_length_a 4.651
_cell_length_b 4.651
_cell_length_c 4.651
_cell_angle_alpha 90.00
_cell_angle_beta 90.00
_cell_angle_gamma 90.00
_space_group_name_H-M_alt 'P m -3 m'
_space_group_IT_number 221
_space_group_name_Hall '-P 4 2 3'
loop_
_atom_site_label
_atom_site_fract_x
_atom_site_fract_y
_atom_site_fract_z
_atom_site_occupancy
Os1 0.000 0.000 0.000 1
Rh1 0.000 0.000 0.500 1
Rh2 0.500 0.500 0.500 1
```


What are the relative energies? In kJ/mol of atoms: w 0.0; x 86.1.


w | Material: OsRh4
Method: DFT, PBE
State: optimized geometry

Results
- crystal system = tetragonal

CIF file:
```
data_OsRh4
_chemical_formula_sum 'Os2 Rh8'
_cell_length_a 6.078
_cell_length_b 6.078
_cell_length_c 3.835
_cell_angle_alpha 90.00
_cell_angle_beta 90.00
_cell_angle_gamma 90.00
_space_group_name_H-M_alt 'I 4/m'
_space_group_IT_number 87
_space_group_name_Hall '-I 4'
loop_
_atom_site_label
_atom_site_fract_x
_atom_site_fract_y
_atom_site_fract_z
_atom_site_occupancy
Os1 0.000 0.000 0.000 1
Rh1 0.104 0.703 0.500 1
```


x | Material: OsRh4
Method: DFT, PBE
State: optimized geometry

Results
- crystal system = monoclinic

CIF file:
```
data_OsRh4
_chemical_formula_sum 'Os4 Rh16'
_cell_length_a 9.194
_cell_length_b 4.733
_cell_length_c 7.007
_cell_angle_alpha 90.00
_cell_angle_beta 111.49
_cell_angle_gamma 90.00
_space_group_name_H-M_alt 'C 1 2 1'
_space_group_IT_number 5
_space_group_name_Hall 'C 2y'
loop_
_atom_site_label
_atom_site_fract_x
_atom_site_fract_y
_atom_site_fract_z
_atom_site_occupancy
Os1 0.100 0.000 0.199 1
Rh1 0.000 0.165 0.500 1
Rh2 0.000 0.505 0.000 1
Rh3 0.101 0.666 0.699 1
Rh4 0.196 0.168 0.901 1
Rh5 0.198 0.503 0.397 1
```


What are the relative energies? In kJ/mol of atoms: w 0.0; x 1.5.